Record 1
A plane-wave DFT calculation with PBE was carried out for crystalline Pm2Pd15Pb2 at its relaxed geometry.

## Properties
Density = 10.92 g cm⁻³
Calculated formation energy = -6.61 eV per formula unit
Size of the total moment = 0.00 μB/atom

Unit cell a=7.1089 b=7.1089 c=7.1089 alpha=82.15 beta=82.15 gamma=82.15
Element x y z (fractional)
Pm1 0.3579 0.3579 0.3579
Pm2 0.6421 0.6421 0.6421
Pd1 0.5000 0.0000 0.0000
Pd2 0.0000 0.0000 0.5000
Pd3 0.0000 0.5000 0.0000
Pd4 0.0000 0.6806 0.3194
Pd5 0.6806 0.3194 0.0000
Pd6 0.3194 0.0000 0.6806
Pd7 0.3194 0.6806 0.0000
Pd8 0.6806 0.0000 0.3194
Pd9 0.0000 0.3194 0.6806
Pd10 0.1671 0.6540 0.6540
Pd11 0.6540 0.6540 0.1671
Pd12 0.6540 0.1671 0.6540
Pd13 0.8329 0.3460 0.3460
Pd14 0.3460 0.3460 0.8329
Pd15 0.3460 0.8329 0.3460
Pb1 0.1080 0.1080 0.1080
Pb2 0.8920 0.8920 0.8920



Record 2
A plane-wave DFT calculation with PBE was carried out for crystalline Er8Te4As3H at its relaxed geometry.

## Properties
Energy = -85.786 eV per formula unit
Density = 8.45 g cm⁻³
Size of the total moment = 0.00 μB/atom

Unit cell a=8.2134 b=8.4341 c=8.2140 alpha=119.14 beta=120.00 gamma=90.00
Element x y z (fractional)
Er1 0.2361 0.7154 0.9793
Er2 0.2362 0.7155 0.4724
Er3 0.2617 0.2850 0.5233
Er4 0.7432 0.7154 0.9793
Er5 0.2568 0.2846 0.0207
Er6 0.7383 0.7150 0.4767
Er7 0.7638 0.2845 0.5276
Er8 0.7639 0.2846 0.0207
Te1 0.5000 0.0000 0.0000
Te2 0.5000 0.0000 0.5000
Te3 0.0000 0.0000 0.0000
Te4 0.0000 0.0000 0.5000
As1 0.5000 0.5000 0.0000
As2 0.5000 0.5000 0.5000
As3 0.0000 0.5000 0.5000
H1 0.0000 0.5000 0.0000



Record 3
A plane-wave DFT calculation with PBE was carried out for crystalline GeBPd6 at its relaxed geometry.

## Properties
Density = 9.79 g cm⁻³
Calculated formation energy = -1.97 eV per formula unit
Size of the total moment = 0.00 μB/atom

Unit cell a=5.4202 b=5.4193 c=5.7384 alpha=61.84 beta=61.83 gamma=60.02
Element x y z (fractional)
Ge1 0.0000 0.0000 0.0000
B1 0.5000 0.5000 0.5000
Pd1 0.0725 0.4806 0.7396
Pd2 0.7071 0.0727 0.7398
Pd3 0.5197 0.2927 0.2602
Pd4 0.2929 0.9273 0.2602
Pd5 0.9275 0.5194 0.2604
Pd6 0.4803 0.7073 0.7398



Record 4
A plane-wave DFT calculation with PBE was carried out for crystalline DyAl2Au6 at its relaxed geometry.

## Properties
Density = 11.50 g cm⁻³
Energy relative to the lowest polymorph listed for this composition = 0.200 eV/atom
Calculated formation energy = -1.75 eV per formula unit
Size of the total moment = 0.00 μB/atom

Unit cell a=8.2975 b=8.2975 c=8.2975 alpha=60.00 beta=60.00 gamma=60.00
Element x y z (fractional)
Dy1 0.5000 0.5000 0.5000
Dy2 0.7500 0.7500 0.7500
Al1 0.1250 0.1250 0.1250
Al2 0.1250 0.6250 0.1250
Al3 0.1250 0.1250 0.6250
Al4 0.6250 0.1250 0.1250
Au1 0.2506 0.2506 0.7494
Au2 0.7494 0.7494 0.2506
Au3 0.2506 0.7494 0.2506
Au4 0.2506 0.7494 0.7494
Au5 0.5006 0.5006 0.9994
Au6 0.5006 0.9994 0.9994
Au7 0.7494 0.2506 0.7494
Au8 0.9994 0.9994 0.5006
Au9 0.5006 0.9994 0.5006
Au10 0.9994 0.5006 0.5006
Au11 0.7494 0.2506 0.2506
Au12 0.9994 0.5006 0.9994